Record 1
This record from Alexandria via LeMat-Bulk describes an optimized crystal structure of YCr3Ge. The functional is GGA-PBE.

a b c (Å): 4.9517 4.9517 4.9517
angles (deg): 90.00 90.00 90.00
Last column: nearest neighbours and their distance in Å.
Sites, in units of the cell vectors:
Y  0.0000  0.0000  0.0000  6 Cr 2.48
Cr  0.0000  0.0000  0.5000  2 Y 2.48
Cr  0.0000  0.5000  0.0000  2 Y 2.48
Cr  0.5000  0.0000  0.0000  2 Y 2.48
Ge  0.5000  0.5000  0.5000  12 Cr 3.50

## Properties
distance to the lowest polymorph of the same formula = 1299 meV per atom
formation energy = 2.011 eV per atom
M_tot = 11.0 μB/f.u.
SG = Pm-3m, No. 221

=====

Record 2
This record from Alexandria via LeMat-Bulk describes an optimized crystal structure of Tm2TlZn. The functional is GGA-PBE.

a b c (Å): 3.6204 3.6204 7.3311
angles (deg): 90.00 90.00 90.00
Last column: nearest neighbours and their distance in Å.
Sites, in units of the cell vectors:
Tm  0.0000  0.0000  0.2289  4 Zn 3.06, 4 Tl 3.24, 1 Tm 3.36
Tm  0.0000  0.0000  0.7711  4 Zn 3.06, 4 Tl 3.24, 1 Tm 3.36
Tl  0.5000  0.5000  0.5000  8 Tm 3.24, 4 Tl 3.62
Zn  0.5000  0.5000  0.0000  8 Tm 3.06

## Properties
formation energy = -0.330 eV per atom
M_tot = 0.0 μB/f.u.
SG = P4/mmm, No. 123

=====

Record 3
This record from Alexandria via LeMat-Bulk describes an optimized crystal structure of PmNdGe2. The functional is GGA-PBE.

a b c (Å): 6.0546 6.0546 6.0546
angles (deg): 46.40 46.40 46.40
Last column: nearest neighbours and their distance in Å.
Sites, in units of the cell vectors:
Pm  0.0000  0.0000  0.0000  6 Ge 3.05
Nd  0.5000  0.5000  0.5000  6 Ge 3.08
Ge  0.2516  0.2516  0.2516  3 Pm 3.05, 3 Nd 3.08
Ge  0.7484  0.7484  0.7484  3 Pm 3.05, 3 Nd 3.08

## Properties
formation energy = -0.661 eV per atom
M_tot = 0.0 μB/f.u.
SG = R-3m, No. 166

=====

Record 4
This record from Alexandria via LeMat-Bulk describes an optimized crystal structure of BePd2Pb2. The functional is GGA-PBE.

a b c (Å): 6.2804 6.2804 5.0180
angles (deg): 90.00 90.00 90.00
Last column: nearest neighbours and their distance in Å.
Sites, in units of the cell vectors:
Be  0.0000  0.0000  0.0000  4 Pd 2.36
Be  0.5000  0.5000  0.0000  4 Pd 2.36
Pd  0.1606  0.3394  0.0000  2 Be 2.36
Pd  0.3394  0.8394  0.0000  2 Be 2.36
Pd  0.6606  0.1606  0.0000  2 Be 2.36
Pd  0.8394  0.6606  0.0000  2 Be 2.36
Pb  0.1771  0.6771  0.5000  2 Pd 2.89, 1 Pb 3.15
Pb  0.3229  0.1771  0.5000  2 Pd 2.89, 1 Pb 3.15
Pb  0.6771  0.8229  0.5000  2 Pd 2.89, 1 Pb 3.15
Pb  0.8229  0.3229  0.5000  2 Pd 2.89, 1 Pb 3.15

## Properties
distance to the lowest polymorph of the same formula = 0 meV per atom
formation energy = -0.040 eV per atom
M_tot = 0.0 μB/f.u.
SG = P4/mbm, No. 127

=====

Record 5
This record from Alexandria via LeMat-Bulk describes an optimized crystal structure of Dy5HoTmIn2. The functional is GGA-PBE.

a b c (Å): 11.0411 11.0411 11.0411
angles (deg): 139.63 139.63 58.42
Last column: nearest neighbours and their distance in Å.
Sites, in units of the cell vectors:
Dy  0.0000  0.0000  0.0000  4 In 3.02
Dy  0.0769  0.5769  0.9041  1 In 3.06, 1 Tm 3.25
Dy  0.1728  0.0769  0.5000  1 In 3.06, 1 Tm 3.25
Dy  0.3272  0.8272  0.9041  1 In 3.06, 1 Tm 3.25
Dy  0.4231  0.3272  0.5000  1 In 3.06, 1 Tm 3.25
Dy  0.5000  0.5000  0.0000  4 In 3.02
Dy  0.5769  0.6728  0.5000  1 In 3.06, 1 Tm 3.25
Dy  0.6728  0.1728  0.0959  1 In 3.06, 1 Tm 3.25
Dy  0.8272  0.9231  0.5000  1 In 3.06, 1 Tm 3.25
Dy  0.9231  0.4231  0.0959  1 In 3.06, 1 Tm 3.25
Ho  0.2500  0.2500  0.0000  8 Dy 3.65, 4 Tm 3.81
Ho  0.7500  0.7500  0.0000  8 Dy 3.65, 4 Tm 3.81
Tm  0.2500  0.7500  0.5000  4 Dy 3.25
Tm  0.7500  0.2500  0.5000  4 Dy 3.25
In  0.1236  0.3764  0.5000  1 In 2.66
In  0.3764  0.8764  0.2527  1 In 2.66
In  0.6236  0.1236  0.7473  1 In 2.66
In  0.8764  0.6236  0.5000  1 In 2.66

## Properties
formation energy = 0.007 eV per atom
M_tot = 0.0 μB/f.u.
SG = I4/mcm, No. 140

=====

Record 6
This record from Alexandria via LeMat-Bulk describes an optimized crystal structure of DyMnPb2Se5. The functional is GGA-PBE.

a b c (Å): 9.4578 9.4578 13.0879
angles (deg): 90.00 90.00 154.90
Last column: nearest neighbours and their distance in Å.
Sites, in units of the cell vectors:
Dy  0.1954  0.8046  0.5000  6 Se 2.82-2.95
Dy  0.8046  0.1954  0.0000  6 Se 2.82-2.95
Mn  0.4438  0.5562  0.8982  4 Se 2.38-2.44
Mn  0.5562  0.4438  0.3982  4 Se 2.38-2.44
Pb  0.1119  0.8881  0.8002  6 Se 2.98-3.26
Pb  0.1397  0.8603  0.1448  3 Se 2.95-2.98
Pb  0.8603  0.1397  0.6448  3 Se 2.95-2.98
Pb  0.8881  0.1119  0.3002  6 Se 2.98-3.26
Se  0.0356  0.9644  0.4950  2 Mn 2.44
Se  0.3011  0.6989  0.1515  2 Dy 2.86, 1 Pb 2.98
Se  0.3170  0.6830  0.8462  1 Mn 2.44
Se  0.3475  0.6525  0.4844  1 Dy 2.82, 2 Pb 2.95
Se  0.4963  0.5037  0.2371  1 Mn 2.38
Se  0.5037  0.4963  0.7371  1 Mn 2.38
Se  0.6525  0.3475  0.9844  1 Dy 2.82, 2 Pb 2.95
Se  0.6830  0.3170  0.3462  1 Mn 2.44
Se  0.6989  0.3011  0.6515  2 Dy 2.86, 1 Pb 2.98
Se  0.9644  0.0356  0.9950  2 Mn 2.44

## Properties
M_tot = 4.0 μB/f.u.
SG = Cmc2_1, No. 36
E_form (uncorrected) = -0.83 eV/atom

=====

Record 7
This record from Alexandria via LeMat-Bulk describes an optimized crystal structure of CaPmCdAu. The functional is GGA-PBE.

a b c (Å): 5.2809 5.2809 5.2809
angles (deg): 60.00 60.00 60.00
Last column: nearest neighbours and their distance in Å.
Sites, in units of the cell vectors:
Ca  0.0000  0.0000  0.0000  4 Cd 3.23, 4 Au 3.23
Pm  0.5000  0.5000  0.5000  4 Cd 3.23, 4 Au 3.23
Cd  0.7500  0.7500  0.7500  4 Ca 3.23, 4 Pm 3.23
Au  0.2500  0.2500  0.2500  4 Ca 3.23, 4 Pm 3.23

## Properties
distance to the lowest polymorph of the same formula = 15 meV per atom
formation energy = -0.550 eV per atom
M_tot = 0.0 μB/f.u.
SG = F-43m, No. 216

=====

Record 8
This record from Alexandria via LeMat-Bulk describes an optimized crystal structure of AcAlSi. The functional is GGA-PBE.

a b c (Å): 4.2997 4.2997 4.6932
angles (deg): 90.00 90.00 120.00
Last column: nearest neighbours and their distance in Å.
Sites, in units of the cell vectors:
Ac  0.0000  0.0000  0.0000  6 Si 3.41-3.42, 6 Al 3.41-3.42
Al  0.6667  0.3333  0.4986  3 Si 2.48
Si  0.3333  0.6667  0.5014  3 Al 2.48

## Properties
distance to the lowest polymorph of the same formula = 0 meV per atom
M_tot = 0.0 μB/f.u.
SG = P3m1, No. 156
E_form (uncorrected) = -0.57 eV/atom

=====

Record 9
This record from Alexandria via LeMat-Bulk describes an optimized crystal structure of AlCd2. The functional is GGA-PBE.

a b c (Å): 5.4017 5.4017 5.4017
angles (deg): 146.73 133.24 58.59
Last column: nearest neighbours and their distance in Å.
Sites, in units of the cell vectors:
Al  0.0000  0.0000  0.0000  10 Cd 3.06-3.17, 2 Al 3.09
Cd  0.3369  0.3369  0.0000  5 Al 3.06-3.17, 7 Cd 3.07-3.11
Cd  0.6631  0.6631  0.0000  5 Al 3.06-3.17, 7 Cd 3.07-3.11

## Properties
formation energy = 0.124 eV per atom
M_tot = 0.0 μB/f.u.
SG = Immm, No. 71

=====

Record 10
This record from Alexandria via LeMat-Bulk describes an optimized crystal structure of Nd2CuBi. The functional is GGA-PBE.

a b c (Å): 5.1727 5.1727 4.1198
angles (deg): 90.00 90.00 90.00
Last column: nearest neighbours and their distance in Å.
Sites, in units of the cell vectors:
Nd  0.0000  0.5000  0.0000  4 Bi 3.31, 4 Cu 3.31, 4 Nd 3.66
Nd  0.5000  0.0000  0.0000  4 Bi 3.31, 4 Cu 3.31, 4 Nd 3.66
Cu  0.0000  0.0000  0.5000  8 Nd 3.31, 4 Bi 3.66
Bi  0.5000  0.5000  0.5000  8 Nd 3.31, 4 Cu 3.66

## Properties
distance to the lowest polymorph of the same formula = 0 meV per atom
formation energy = -0.395 eV per atom
M_tot = 0.0 μB/f.u.
SG = P4/mmm, No. 123

=====

- What is the formula in the ninth record?
  AlCd2